Entry 1:
DFT (GGA-PBE) results for a relaxed Ca2Ga2GeO7 crystal.

Calculated values
* space group: P2_1, No. 4
* formation energy from raw total energies: -2.279 eV per atom
* crystal system: monoclinic

Unit cell a=7.975 b=5.252 c=7.994 alpha=88.56 beta=90.00 gamma=90.00
Site moments in Bohr magnetons follow the coordinates.
Positions (direct):
Ga1 0.357 0.969 0.604  0.00
Ga2 0.857 0.031 0.396  0.00
Ga3 0.001 0.001 0.754  0.00
Ga4 0.501 0.999 0.246  0.00
O1 0.402 0.796 0.409  0.01
O2 0.842 0.800 0.865  0.00
O3 0.517 0.800 0.743  0.00
O4 0.017 0.200 0.257  0.00
O5 0.166 0.788 0.677  0.01
O6 0.857 0.688 0.391  0.06
O7 0.641 0.285 0.889  0.01
O8 0.141 0.715 0.111  0.01
O9 0.586 0.786 0.083  0.00
O10 0.902 0.204 0.591  0.01
O11 0.086 0.214 0.917  0.00
O12 0.666 0.212 0.323  0.01
O13 0.342 0.200 0.135  0.00
O14 0.357 0.312 0.609  0.06
Ge1 0.145 0.045 0.107  0.00
Ge2 0.645 0.955 0.893  0.00
Ca1 0.332 0.493 0.894  0.00
Ca2 0.652 0.474 0.573  0.00
Ca3 0.832 0.507 0.106  0.00
Ca4 0.152 0.526 0.427  0.00

---

Entry 2:
DFT (GGA-PBE) results for a relaxed CaGa2GeO6 crystal.

Calculated values
* space group: C2/c, No. 15
* formation energy from raw total energies: -2.048 eV per atom
* crystal system: monoclinic

Unit cell a=5.978 b=7.135 c=7.135 alpha=101.16 beta=74.21 gamma=74.21
Positions (direct):
Ca1 0.750 0.104 0.896
Ca2 0.250 0.896 0.104
Ga1 0.337 0.711 0.553
Ga2 0.163 0.447 0.289
Ga3 0.663 0.289 0.447
Ga4 0.837 0.553 0.711
O1 0.472 0.438 0.318
O2 0.453 0.840 0.355
O3 0.953 0.355 0.840
O4 0.811 0.043 0.212
O5 0.311 0.212 0.043
O6 0.028 0.682 0.562
O7 0.547 0.160 0.645
O8 0.528 0.562 0.682
O9 0.047 0.645 0.160
O10 0.189 0.957 0.788
O11 0.972 0.318 0.438
O12 0.689 0.788 0.957
Ge1 0.750 0.809 0.191
Ge2 0.250 0.191 0.809

---

Entry 3:
DFT (GGA-PBE) results for a relaxed Ca2GaGeP crystal.

Calculated values
* space group: P2_1/m, No. 11
* ΔE_f: -0.720 eV per atom
* crystal system: monoclinic

Unit cell a=4.139 b=7.249 c=8.787 alpha=106.72 beta=90.00 gamma=90.00
Positions (direct):
Ga1 0.250 0.499 0.727
Ga2 0.750 0.501 0.273
Ge1 0.750 0.298 0.696
Ge2 0.250 0.702 0.304
Ca1 0.750 0.771 0.029
Ca2 0.250 0.172 0.398
Ca3 0.250 0.229 0.971
Ca4 0.750 0.828 0.602
P1 0.750 0.170 0.177
P2 0.250 0.830 0.823

---

Entry 4:
DFT (GGA-PBE) results for a relaxed CaGa2GePd4 crystal.

Calculated values
* space group: R-3m, No. 166
* ΔE_f: -0.587 eV per atom
* crystal system: trigonal

Unit cell a=4.355 b=4.355 c=8.999 alpha=76.00 beta=76.00 gamma=60.00
Positions (direct):
Pd1 0.405 0.405 0.786
Pd2 0.595 0.595 0.214
Pd3 0.135 0.135 0.595
Pd4 0.865 0.865 0.405
Ge1 0.500 0.500 0.500
Ca1 0.000 0.000 0.000
Ga1 0.749 0.749 0.754
Ga2 0.251 0.251 0.246

---

Entry 5:
DFT (GGA-PBE) results for a relaxed Ca3GaGe2Pd9 crystal.

Calculated values
* space group: P-3m1, No. 164
* ΔE_f: -0.497 eV per atom
* crystal system: trigonal

Unit cell a=6.501 b=6.501 c=8.797 alpha=90.00 beta=90.00 gamma=120.00
Positions (direct):
Pd1 0.140 0.860 0.279
Pd2 0.720 0.860 0.279
Pd3 0.500 0.500 0.000
Pd4 0.000 0.500 0.000
Pd5 0.500 0.000 0.000
Pd6 0.860 0.720 0.721
Pd7 0.860 0.140 0.721
Pd8 0.140 0.280 0.279
Pd9 0.280 0.140 0.721
Ge1 0.333 0.667 0.180
Ge2 0.667 0.333 0.820
Ca1 0.333 0.667 0.701
Ca2 0.667 0.333 0.299
Ca3 0.000 0.000 0.000
Ga1 0.000 0.000 0.500

---

Entry 6:
DFT (GGA-PBE) results for a relaxed Ca3Ga2GePd9 crystal.

Calculated values
* space group: P-3m1, No. 164
* ΔE_f: -0.473 eV per atom
* crystal system: trigonal

Unit cell a=6.581 b=6.581 c=8.532 alpha=90.00 beta=90.00 gamma=120.00
Positions (direct):
Pd1 0.721 0.860 0.282
Pd2 0.000 0.500 0.000
Pd3 0.140 0.860 0.282
Pd4 0.860 0.140 0.718
Pd5 0.860 0.721 0.718
Pd6 0.500 0.500 0.000
Pd7 0.140 0.279 0.282
Pd8 0.500 0.000 0.000
Pd9 0.279 0.140 0.718
Ga1 0.667 0.333 0.815
Ga2 0.333 0.667 0.185
Ca1 0.000 0.000 0.000
Ca2 0.333 0.667 0.698
Ca3 0.667 0.333 0.302
Ge1 0.000 0.000 0.500

---

Entry 7:
DFT (GGA-PBE) results for a relaxed Ca2GaGe4Pd3 crystal.

Calculated values
* space group: P-4m2, No. 115
* ΔE_f: -0.611 eV per atom
* crystal system: tetragonal

Unit cell a=4.220 b=4.220 c=10.895 alpha=90.00 beta=90.00 gamma=90.00
Positions (direct):
Ca1 0.500 0.000 0.250
Ca2 0.000 0.500 0.750
Ge1 0.500 0.500 0.000
Ge2 0.500 0.000 0.641
Ge3 0.000 0.000 0.000
Ge4 0.000 0.500 0.359
Pd1 0.000 0.500 0.133
Pd2 0.500 0.000 0.867
Pd3 0.000 0.000 0.500
Ga1 0.500 0.500 0.500

---

Entry 8:
DFT (GGA-PBE) results for a relaxed CaGaGe2Pd crystal.

Calculated values
* space group: I-4m2, No. 119
* ΔE_f: -0.516 eV per atom
* crystal system: tetragonal

Unit cell a=4.270 b=4.270 c=6.180 alpha=110.21 beta=110.21 gamma=90.00
Positions (direct):
Ge1 0.384 0.384 0.769
Ge2 0.616 0.616 0.231
Ca1 0.000 0.000 0.000
Ga1 0.250 0.750 0.500
Pd1 0.750 0.250 0.500

---

Entry 9:
DFT (GGA-PBE) results for a relaxed Ca2GaGe3Pd4 crystal.

Calculated values
* space group: P-4m2, No. 115
* ΔE_f: -0.707 eV per atom
* crystal system: tetragonal

Unit cell a=4.235 b=4.235 c=10.671 alpha=90.00 beta=90.00 gamma=90.00
Positions (direct):
Pd1 0.000 0.000 0.000
Pd2 0.500 0.000 0.637
Pd3 0.500 0.500 0.000
Pd4 0.000 0.500 0.363
Ca1 0.000 0.500 0.751
Ca2 0.500 0.000 0.249
Ga1 0.500 0.500 0.500
Ge1 0.500 0.000 0.869
Ge2 0.000 0.000 0.500
Ge3 0.000 0.500 0.131

---

Entry 10:
DFT (GGA-PBE) results for a relaxed CaPmGaGe crystal.

Calculated values
* space group: Amm2, No. 38
* ΔE_f: -0.681 eV per atom
* crystal system: orthorhombic

Unit cell a=4.479 b=4.108 c=5.958 alpha=90.00 beta=112.08 gamma=90.00
Positions (direct):
Ga1 0.575 0.500 0.150
Ge1 0.423 0.000 0.847
Ca1 0.140 0.000 0.279
Pm1 0.862 0.500 0.724

---

Entry 11:
DFT (GGA-PBE) results for a relaxed CaPmGaGe crystal.

Calculated values
* space group: F-43m, No. 216
* ΔE_f: -0.519 eV per atom
* crystal system: cubic

Unit cell a=5.176 b=5.176 c=5.176 alpha=60.00 beta=60.00 gamma=60.00
Positions (direct):
Ca1 0.000 0.000 0.000
Ga1 0.750 0.750 0.750
Pm1 0.500 0.500 0.500
Ge1 0.250 0.250 0.250

---

Entry 12:
DFT (GGA-PBE) results for a relaxed Ca2Ga4GePt3 crystal.

Calculated values
* space group: P-4m2, No. 115
* ΔE_f: -0.749 eV per atom
* crystal system: tetragonal

Unit cell a=4.265 b=4.265 c=10.743 alpha=90.00 beta=90.00 gamma=90.00
Positions (direct):
Ga1 0.500 0.000 0.639
Ga2 0.000 0.500 0.361
Ga3 0.500 0.500 0.000
Ga4 0.000 0.000 0.000
Ca1 0.000 0.500 0.751
Ca2 0.500 0.000 0.249
Ge1 0.500 0.500 0.500
Pt1 0.000 0.500 0.131
Pt2 0.500 0.000 0.869
Pt3 0.000 0.000 0.500

---

Entry 13:
DFT (GGA-PBE) results for a relaxed Ca2GaGe3Pt4 crystal.

Calculated values
* space group: P-4m2, No. 115
* ΔE_f: -0.827 eV per atom
* crystal system: tetragonal

Unit cell a=4.267 b=4.267 c=10.529 alpha=90.00 beta=90.00 gamma=90.00
Positions (direct):
Pt1 0.500 0.000 0.633
Pt2 0.000 0.000 0.000
Pt3 0.500 0.500 0.000
Pt4 0.000 0.500 0.367
Ge1 0.000 0.000 0.500
Ge2 0.500 0.000 0.867
Ge3 0.000 0.500 0.133
Ga1 0.500 0.500 0.500
Ca1 0.000 0.500 0.749
Ca2 0.500 0.000 0.251

---

Entry 14:
DFT (GGA-PBE) results for a relaxed CaGaGePt3 crystal.

Calculated values
* space group: Cmcm, No. 63
* ΔE_f: -0.681 eV per atom
* crystal system: orthorhombic

Unit cell a=5.676 b=5.669 c=8.442 alpha=109.62 beta=90.00 gamma=90.00
Positions (direct):
Ca1 0.250 0.706 0.412
Ca2 0.750 0.294 0.588
Ga1 0.750 0.899 0.798
Ga2 0.250 0.101 0.202
Ge1 0.750 0.594 0.187
Ge2 0.250 0.406 0.813
Pt1 0.000 0.247 0.000
Pt2 0.250 0.255 0.509
Pt3 0.500 0.247 0.000
Pt4 0.000 0.753 0.000
Pt5 0.500 0.753 0.000
Pt6 0.750 0.745 0.491

---

Entry 15:
DFT (GGA-PBE) results for a relaxed Ca2Ga3GePt4 crystal.

Calculated values
* space group: P-4m2, No. 115
* ΔE_f: -0.854 eV per atom
* crystal system: tetragonal

Unit cell a=4.403 b=4.403 c=9.996 alpha=90.00 beta=90.00 gamma=90.00
Positions (direct):
Pt1 0.500 0.500 0.000
Pt2 0.000 0.500 0.374
Pt3 0.000 0.000 0.000
Pt4 0.500 0.000 0.626
Ge1 0.500 0.500 0.500
Ca1 0.500 0.000 0.246
Ca2 0.000 0.500 0.754
Ga1 0.000 0.500 0.126
Ga2 0.500 0.000 0.874
Ga3 0.000 0.000 0.500

---

Entry 16:
DFT (GGA-PBE) results for a relaxed CaPuGaGe crystal.

Calculated values
* space group: F-43m, No. 216
* ΔE_f: -0.370 eV per atom
* crystal system: cubic

Unit cell a=5.097 b=5.097 c=5.097 alpha=60.00 beta=60.00 gamma=60.00
Site moments in Bohr magnetons follow the coordinates.
Positions (direct):
Ca1 0.000 0.000 0.000  -0.01
Ga1 0.750 0.750 0.750  0.01
Pu1 0.500 0.500 0.500  -5.30
Ge1 0.250 0.250 0.250  0.04

---

Entry 17:
DFT (GGA-PBE) results for a relaxed Ca2GaGe2Rh5 crystal.

Calculated values
* space group: P4/mbm, No. 127
* ΔE_f: -0.655 eV per atom
* crystal system: tetragonal

Unit cell a=3.396 b=9.949 c=9.949 alpha=90.00 beta=90.00 gamma=90.00
Positions (direct):
Ga1 0.000 0.500 0.500
Ga2 0.000 0.000 0.000
Ge1 0.000 0.372 0.128
Ge2 0.000 0.128 0.628
Ge3 0.000 0.628 0.872
Ge4 0.000 0.872 0.372
Rh1 0.500 0.434 0.298
Rh2 0.500 0.798 0.934
Rh3 0.500 0.066 0.798
Rh4 0.500 0.000 0.500
Rh5 0.500 0.702 0.434
Rh6 0.500 0.298 0.566
Rh7 0.500 0.566 0.702
Rh8 0.500 0.500 0.000
Rh9 0.500 0.934 0.202
Rh10 0.500 0.202 0.066
Ca1 0.000 0.828 0.672
Ca2 0.000 0.672 0.172
Ca3 0.000 0.328 0.828
Ca4 0.000 0.172 0.328

---

Entry 18:
DFT (GGA-PBE) results for a relaxed Ca2Ga3GeRh4 crystal.

Calculated values
* space group: P-4m2, No. 115
* ΔE_f: -0.702 eV per atom
* crystal system: tetragonal

Unit cell a=4.374 b=4.374 c=9.705 alpha=90.00 beta=90.00 gamma=90.00
Positions (direct):
Ca1 0.000 0.500 0.763
Ca2 0.500 0.000 0.237
Ga1 0.000 0.500 0.123
Ga2 0.000 0.000 0.500
Ga3 0.500 0.000 0.877
Rh1 0.500 0.500 0.000
Rh2 0.000 0.500 0.379
Rh3 0.500 0.000 0.621
Rh4 0.000 0.000 0.000
Ge1 0.500 0.500 0.500

---

Entry 19:
DFT (GGA-PBE) results for a relaxed CaGaGe2Rh crystal.

Calculated values
* space group: I-4m2, No. 119
* ΔE_f: -0.500 eV per atom
* crystal system: tetragonal

Unit cell a=4.140 b=4.140 c=6.222 alpha=109.43 beta=109.43 gamma=90.00
Positions (direct):
Rh1 0.750 0.250 0.500
Ge1 0.616 0.616 0.231
Ge2 0.384 0.384 0.769
Ca1 0.000 0.000 0.000
Ga1 0.250 0.750 0.500

---

Entry 20:
DFT (GGA-PBE) results for a relaxed CaGa2GeRh crystal.

Calculated values
* space group: Imm2, No. 44
* ΔE_f: -0.520 eV per atom
* crystal system: orthorhombic

Unit cell a=4.158 b=4.039 c=6.296 alpha=108.71 beta=109.28 gamma=90.00
Positions (direct):
Ga1 0.057 0.057 0.115
Ga2 0.688 0.188 0.376
Ca1 0.440 0.440 0.880
Rh1 0.198 0.698 0.397
Ge1 0.829 0.829 0.657

---

Entry 21:
DFT (GGA-PBE) results for a relaxed CaGaGeRu crystal.

Calculated values
* space group: R3m, No. 160
* ΔE_f: -0.341 eV per atom
* crystal system: trigonal

Unit cell a=4.264 b=4.264 c=5.869 alpha=68.70 beta=68.70 gamma=60.00
Positions (direct):
Ge1 0.015 0.015 0.954
Ru1 0.631 0.631 0.106
Ga1 0.265 0.265 0.206
Ca1 0.815 0.815 0.555

---

Entry 22:
DFT (GGA-PBE) results for a relaxed CaGa2GeRu2 crystal.

Calculated values
* space group: P4/mmm, No. 123
* ΔE_f: -0.177 eV per atom
* crystal system: tetragonal

Unit cell a=4.556 b=4.556 c=5.683 alpha=90.00 beta=90.00 gamma=90.00
Positions (direct):
Ca1 0.000 0.000 0.500
Ru1 0.000 0.500 0.000
Ru2 0.500 0.000 0.000
Ga1 0.500 0.500 0.733
Ga2 0.500 0.500 0.267
Ge1 0.000 0.000 0.000